First-principles (GGA-PBE) data for a geometry-optimized Na3ZrSn3Se8 structure, as listed in Alexandria.

Cell: 14.0345 8.1268 8.5547 Å, 90.00 123.15 90.00°
Space group C2/m (No. 12)
Symmetry-distinct sites (fractional):
Na  0.0000  0.0000  0.0000 [2 per cell]
Na  0.2500  0.2500  0.0000 [4 per cell]
Zr  0.0000  0.0000  0.5000 [2 per cell]
Sn  0.0000  0.5000  0.5000 [2 per cell]
Sn  0.2500  0.2500  0.5000 [4 per cell]
Se  0.0082  0.2392  0.2846 [8 per cell]
Se  0.2315  0.0000  0.7152 [4 per cell]
Se  0.2448  0.5000  0.7344 [4 per cell]

Summary:
As for the density of states at the Fermi level: 8.4 states/eV/cell. For the volume, the calculation gives 27.23 Å³/atom. The raw total energy is -4.32 eV/atom.